No. 1
CoSiSn2 | PBE | relaxed

```
CoSiSn2
1.0
-2.998 2.998 5.774
2.998 -2.998 5.774
2.998 2.998 -5.774
Co Si Sn
2 2 4
Cartesian
0.000 0.000 0.000 Co
0.000 2.998 2.887 Co
2.998 0.000 2.887 Si
0.000 0.000 5.774 Si
4.498 1.364 -1.444 Sn
1.364 1.499 1.444 Sn
-1.499 1.634 4.331 Sn
1.634 1.499 7.218 Sn
```

Calculated values
The value obtained for the density of states at the Fermi level is 0.8605 states/eV/atom. For the final energy, the calculation gives -36.84 eV for the cell shown. The formation energy (no corrections) comes out at 0.5289 eV/atom. Its space group is I-42d (122).

***

No. 2
CsAs2BrN | PBE | relaxed

```
CsAs2BrN
1.0
4.456 0.000 0.000
0.000 4.456 0.000
0.000 0.000 9.121
Cs As Br N
1 2 1 1
Cartesian
0.000 0.000 0.000 Cs
0.000 2.228 4.560 As
2.228 0.000 4.560 As
2.228 2.228 0.000 Br
2.228 2.228 4.560 N
```

Calculated values
The value obtained for the density of states at the Fermi level is 0.5718 states/eV/atom. For the final energy, the calculation gives -18.16 eV for the cell shown. The value obtained for the offset from the most stable computed form is 0.00 eV/f.u. The formation energy (no corrections) comes out at 0.3989 eV/atom. Its space group is P4/mmm (123).

***

final energy of number 2 (CsAs2BrN)? -18.16 eV for the cell shown